! PBE KZr2TlAu, relaxed; values from VASP
! - distance to the lowest polymorph of the same formula (meV/atom) = 0.0
! - raw total energy (eV/atom) = -4.11
! - spin magnetization (Bohr magnetons per cell) = 0.0
! - E_form (eV per atom) = 0.6607
&SYSTEM
  ibrav = 0, nat = 5, ntyp = 4
/
ATOMIC_SPECIES
K 39.10 K.upf
Zr 91.22 Zr.upf
Tl 204.38 Tl.upf
Au 196.97 Au.upf
CELL_PARAMETERS angstrom
5.274 0.000 0.000
0.000 5.274 0.000
0.000 0.000 5.857
ATOMIC_POSITIONS crystal
K 0.000 0.000 0.000
Zr 0.000 0.500 0.500
Zr 0.500 0.000 0.500
Tl 0.500 0.500 0.000
Au 0.000 0.000 0.500



! PBE Ba3As4Pb, relaxed; values from VASP
! - raw total energy (eV/atom) = -4.32
! - spin magnetization (Bohr magnetons per cell) = 0.0
! - E_form (eV per atom) = -0.8109
&SYSTEM
  ibrav = 0, nat = 8, ntyp = 3
/
ATOMIC_SPECIES
Ba 137.33 Ba.upf
As 74.92 As.upf
Pb 207.20 Pb.upf
CELL_PARAMETERS angstrom
-2.423 3.284 8.760
2.423 -3.284 8.760
2.423 3.284 -8.760
ATOMIC_POSITIONS crystal
Ba 0.000 0.000 0.000
Ba 0.308 0.808 0.500
Ba 0.692 0.192 0.500
As 0.059 0.372 0.687
As 0.315 0.628 0.687
As 0.685 0.372 0.313
As 0.941 0.628 0.313
Pb 0.500 0.500 0.000